# 1
VASP calculation (PBE) on K3CuSn4 after structural relaxation.

## Properties
The crystal system is orthorhombic. The formation energy comes out at -1.95 eV/f.u.

a b c (Å): 6.932 12.960 6.435
angles (deg): 90.00 90.00 90.00
Space group Pmmn (No. 59, origin choice 2)
Symmetry-distinct sites (fractional):
K 0.250 0.004 0.168 (multiplicity 4)
K 0.250 0.250 0.545 (multiplicity 2)
Cu 0.250 0.750 0.314 (multiplicity 2)
Sn 0.022 0.750 0.972 (multiplicity 4)
Sn 0.250 0.632 0.660 (multiplicity 4)

***

# 2
VASP calculation (PBE) on PuVFe after structural relaxation.

## Properties
The crystal system is orthorhombic. The formation energy comes out at 0.44 eV/f.u. For the distance to the lowest polymorph of the same formula, the calculation gives 0.0000 eV/atom.

a b c (Å): 5.163 8.063 9.024
angles (deg): 90.00 90.00 90.00
Space group Fmmm (No. 69)
Symmetry-distinct sites (fractional):
Pu 0.000 0.000 0.150 (multiplicity 8)
V 0.000 0.159 0.500 (multiplicity 8)
Fe 0.250 0.250 0.250 (multiplicity 8)

***

# 3
VASP calculation (PBE) on Ca4TmSe5 after structural relaxation.

## Properties
The crystal system is tetragonal. The calculation puts the uncorrected formation energy at -1.944 eV/atom.

a b c (Å): 9.309 9.309 5.877
angles (deg): 90.00 90.00 90.00
Space group I4/m (No. 87)
Symmetry-distinct sites (fractional):
Ca 0.098 0.301 0.000 (multiplicity 8)
Tm 0.000 0.000 0.500 (multiplicity 2)
Se 0.000 0.000 0.000 (multiplicity 2)
Se 0.098 0.292 0.500 (multiplicity 8)

***

# 4
VASP calculation (PBE) on LaSc2Mn after structural relaxation.

## Properties
The crystal system is tetragonal. The formation energy comes out at 3.10 eV/f.u. For the distance to the lowest polymorph of the same formula, the calculation gives 0.6946 eV/atom.

a b c (Å): 7.011 7.011 9.940
angles (deg): 90.00 90.00 90.00
Space group I4_1/amd (No. 141, origin choice 2)
Symmetry-distinct sites (fractional):
La 0.000 0.250 0.375 (multiplicity 4)
Sc 0.000 0.000 0.000 (multiplicity 8)
Mn 0.000 0.250 0.875 (multiplicity 4)